(1)
VASP calculation (GGA-PBE) on crystalline Ac12Ru5Pt3 at its relaxed geometry.

Computed properties:
For the density of states at the Fermi level, the calculation gives 12.27 states/eV/f.u.

Unit cell a=15.229 b=15.229 c=15.229 alpha=109.47 beta=109.47 gamma=109.47
Atoms (fractional coordinates):
Ac 0.874 0.589 0.910
Ac 0.286 0.411 0.821
Ac 0.590 0.626 0.411
Ac 0.090 0.911 0.126
Ac 0.965 0.374 0.286
Ac 0.714 0.126 0.035
Ac 0.910 0.089 0.874
Ac 0.465 0.786 0.874
Ac 0.214 0.535 0.626
Ac 0.411 0.126 0.590
Ac 0.965 0.590 0.179
Ac 0.126 0.411 0.090
Ac 0.374 0.410 0.089
Ac 0.214 0.679 0.089
Ac 0.410 0.374 0.589
Ac 0.874 0.286 0.465
Ac 0.089 0.910 0.374
Ac 0.589 0.714 0.679
Ac 0.910 0.821 0.535
Ac 0.321 0.786 0.411
Ac 0.911 0.821 0.786
Ac 0.590 0.965 0.679
Ac 0.465 0.679 0.090
Ac 0.911 0.090 0.626
Ac 0.626 0.590 0.911
Ac 0.679 0.214 0.589
Ac 0.626 0.035 0.214
Ac 0.679 0.465 0.590
Ac 0.714 0.589 0.179
Ac 0.089 0.179 0.214
Ac 0.090 0.179 0.465
Ac 0.589 0.874 0.410
Ac 0.286 0.874 0.965
Ac 0.786 0.321 0.911
Ac 0.786 0.465 0.374
Ac 0.821 0.910 0.035
Ac 0.411 0.286 0.321
Ac 0.126 0.714 0.535
Ac 0.410 0.035 0.321
Ac 0.321 0.535 0.410
Ac 0.179 0.090 0.965
Ac 0.535 0.321 0.910
Ac 0.179 0.089 0.714
Ac 0.035 0.410 0.821
Ac 0.821 0.911 0.286
Ac 0.374 0.965 0.786
Ac 0.535 0.214 0.126
Ac 0.035 0.626 0.714
Ru 0.500 0.000 0.500
Ru 0.125 0.750 0.375
Ru 0.375 0.125 0.750
Ru 0.500 0.000 0.000
Ru 0.625 0.875 0.250
Ru 0.875 0.250 0.625
Ru 0.250 0.375 0.625
Ru 0.000 0.500 0.500
Ru 0.125 0.375 0.250
Ru 0.500 0.500 0.500
Ru 0.375 0.250 0.125
Ru 0.750 0.125 0.875
Ru 0.000 0.000 0.000
Ru 0.000 0.000 0.500
Ru 0.625 0.750 0.875
Ru 0.500 0.500 0.000
Ru 0.250 0.875 0.125
Ru 0.750 0.625 0.375
Ru 0.875 0.625 0.750
Ru 0.000 0.500 0.000
Pt 0.125 0.875 0.750
Pt 0.375 0.750 0.625
Pt 0.250 0.625 0.875
Pt 0.625 0.250 0.375
Pt 0.125 0.250 0.875
Pt 0.625 0.375 0.750
Pt 0.875 0.750 0.125
Pt 0.375 0.625 0.250
Pt 0.250 0.125 0.375
Pt 0.750 0.875 0.625
Pt 0.750 0.375 0.125
Pt 0.875 0.125 0.250

=====

(2)
VASP calculation (GGA-PBE) on crystalline Ho4Co2Ag at its relaxed geometry.

Computed properties:
For the density of states at the Fermi level, the calculation gives 5.03 states/eV/f.u.

Unit cell a=8.595 b=7.270 c=6.892 alpha=106.27 beta=111.20 gamma=114.42
Atoms (fractional coordinates):
Co 0.610 0.252 0.115
Co 0.122 0.430 0.857
Co 0.551 0.405 0.640
Co 0.876 0.950 0.569
Ho 0.822 0.670 0.136
Ho 0.401 0.682 0.794
Ho 0.901 0.621 0.662
Ho 0.280 0.125 0.710
Ho 0.375 0.000 0.231
Ho 0.735 0.169 0.789
Ho 0.891 0.189 0.356
Ho 0.474 0.552 0.291
Ag 0.146 0.598 0.299
Ag 0.065 0.106 0.053

=====

no.,E_form (eV per atom)
1,-0.242
2,-0.167